[1]
The following is a DFT calculation (PBE) of crystalline K2FeSi at its relaxed geometry.

Cell lengths 6.360, 6.360, 6.360 Å; angles 141.82, 124.88, 69.03 degrees
Sites, in units of the cell vectors:
Fe 0.340 0.840 0.500
K 0.028 0.028 0.000
K 0.711 0.211 0.500
Si 0.421 0.421 0.000

- crystal system = orthorhombic

[2]
The following is a DFT calculation (PBE) of crystalline KFe2Si at its relaxed geometry.

Cell lengths 3.026, 3.026, 7.959 Å; angles 90.00, 90.00, 90.00 degrees
Sites, in units of the cell vectors:
Fe 0.000 0.000 0.994
Fe 0.500 0.500 0.149
K 0.000 0.000 0.517
Si 0.500 0.500 0.839

- crystal system = tetragonal

[3]
The following is a DFT calculation (PBE) of crystalline KFe2Si at its relaxed geometry.

Cell lengths 5.451, 5.451, 2.636 Å; angles 77.14, 77.14, 112.29 degrees
Sites, in units of the cell vectors:
Fe 0.000 0.000 0.000
Fe 0.500 0.500 0.000
K 0.500 0.000 0.500
Si 0.000 0.500 0.500

- crystal system = monoclinic

[4]
The following is a DFT calculation (PBE) of crystalline K2FeSi at its relaxed geometry.

Cell lengths 3.369, 3.369, 10.132 Å; angles 90.00, 90.00, 90.01 degrees
Sites, in units of the cell vectors:
Fe 0.500 0.500 0.647
K 0.000 0.000 0.919
K 0.500 0.500 0.336
Si 0.000 0.000 0.599

- crystal system = tetragonal

[5]
The following is a DFT calculation (PBE) of crystalline KFe2Si at its relaxed geometry.

Cell lengths 2.655, 5.347, 4.751 Å; angles 90.00, 90.00, 90.00 degrees
Sites, in units of the cell vectors:
Fe 0.000 0.000 0.000
Fe 0.500 0.500 0.000
K 0.500 0.000 0.500
Si 0.000 0.500 0.500

- crystal system = orthorhombic

[6]
The following is a DFT calculation (PBE) of crystalline K2FeSi at its relaxed geometry.

Cell lengths 5.293, 7.330, 8.626 Å; angles 31.73, 90.00, 90.00 degrees
Sites, in units of the cell vectors:
Fe 0.500 0.750 0.750
K 0.000 0.737 0.002
K 0.000 0.763 0.498
Si 0.500 0.250 0.250

- crystal system = monoclinic

[7]
The following is a DFT calculation (PBE) of crystalline K2FeSi at its relaxed geometry.

Cell lengths 5.514, 4.214, 4.214 Å; angles 90.00, 90.00, 90.00 degrees
Sites, in units of the cell vectors:
Fe 0.500 0.000 0.500
K 0.000 0.000 0.000
K 0.000 0.500 0.500
Si 0.500 0.500 0.000

- crystal system = tetragonal

[8]
The following is a DFT calculation (PBE) of crystalline K2FeSi at its relaxed geometry.

Cell lengths 2.977, 2.977, 11.195 Å; angles 90.00, 90.00, 91.17 degrees
Sites, in units of the cell vectors:
Fe 0.500 0.500 0.750
K 0.000 0.000 0.011
K 0.000 0.000 0.489
Si 0.500 0.500 0.250

- crystal system = orthorhombic

[9]
The following is a DFT calculation (PBE) of crystalline KFe2Si at its relaxed geometry.

Cell lengths 4.769, 4.769, 2.737 Å; angles 90.00, 90.00, 91.33 degrees
Sites, in units of the cell vectors:
Fe 0.000 0.000 0.000
Fe 0.500 0.500 0.000
K 0.500 0.000 0.500
Si 0.000 0.500 0.500

- crystal system = orthorhombic

[10]
The following is a DFT calculation (PBE) of crystalline KFeSi3 at its relaxed geometry.

Cell lengths 5.119, 5.119, 5.119 Å; angles 90.00, 90.00, 90.00 degrees
Sites, in units of the cell vectors:
K 0.000 0.000 0.000
Si 0.000 0.500 0.000
Si 0.000 0.000 0.500
Si 0.500 0.000 0.000
Fe 0.500 0.500 0.500

- E above lowest polymorph (eV per atom) = 2.511
- crystal system = cubic

[11]
The following is a DFT calculation (PBE) of crystalline K2FeSi at its relaxed geometry.

Cell lengths 6.025, 6.025, 3.554 Å; angles 90.01, 90.01, 125.36 degrees
Sites, in units of the cell vectors:
Fe 0.000 0.500 0.500
K 0.000 0.000 0.000
K 0.500 0.500 0.000
Si 0.500 0.000 0.500

- crystal system = orthorhombic

[12]
The following is a DFT calculation (PBE) of crystalline KFe4Si at its relaxed geometry.

Cell lengths 5.013, 5.013, 5.013 Å; angles 60.00, 60.00, 60.00 degrees
Sites, in units of the cell vectors:
K 0.750 0.750 0.750
Fe 0.374 0.879 0.374
Fe 0.879 0.374 0.374
Fe 0.374 0.374 0.879
Fe 0.374 0.374 0.374
Si 0.000 0.000 0.000

- crystal system = cubic

[13]
The following is a DFT calculation (PBE) of crystalline K2FeSi at its relaxed geometry.

Cell lengths 5.201, 5.201, 5.201 Å; angles 119.99, 119.99, 90.02 degrees
Sites, in units of the cell vectors:
Fe 0.750 0.250 0.500
K 0.000 0.000 0.000
K 0.250 0.750 0.500
Si 0.500 0.500 0.000

- crystal system = cubic

[14]
The following is a DFT calculation (PBE) of crystalline K2FeSi at its relaxed geometry.

Cell lengths 10.278, 10.278, 3.753 Å; angles 79.35, 79.35, 16.27 degrees
Sites, in units of the cell vectors:
Fe 0.250 0.250 0.250
K 0.897 0.897 0.099
K 0.603 0.603 0.401
Si 0.750 0.750 0.750

- crystal system = monoclinic

[15]
The following is a DFT calculation (PBE) of crystalline KFe2Si at its relaxed geometry.

Cell lengths 5.972, 5.972, 5.972 Å; angles 154.84, 126.47, 60.03 degrees
Sites, in units of the cell vectors:
Fe 0.994 0.994 0.000
Fe 0.199 0.699 0.500
K 0.507 0.507 0.000
Si 0.800 0.300 0.500

- crystal system = orthorhombic

[16]
The following is a DFT calculation (PBE) of crystalline KFe2Si at its relaxed geometry.

Cell lengths 5.890, 5.890, 5.890 Å; angles 154.50, 124.07, 62.43 degrees
Sites, in units of the cell vectors:
Fe 0.947 0.947 0.000
Fe 0.553 0.553 0.000
K 0.250 0.750 0.500
Si 0.750 0.250 0.500

- crystal system = orthorhombic

[17]
The following is a DFT calculation (PBE) of crystalline KFe2Si at its relaxed geometry.

Cell lengths 3.058, 3.058, 7.797 Å; angles 90.00, 90.00, 90.00 degrees
Sites, in units of the cell vectors:
Fe 0.000 0.000 0.894
Fe 0.000 0.000 0.606
K 0.500 0.500 0.250
Si 0.500 0.500 0.750

- crystal system = tetragonal

[18]
The following is a DFT calculation (PBE) of crystalline KFeSi3 at its relaxed geometry.

Cell lengths 4.552, 4.552, 4.552 Å; angles 90.00, 90.00, 90.00 degrees
Sites, in units of the cell vectors:
K 0.500 0.500 0.500
Si 0.000 0.500 0.000
Si 0.000 0.000 0.500
Si 0.500 0.000 0.000
Fe 0.000 0.000 0.000

- E above lowest polymorph (eV per atom) = 0.000
- crystal system = cubic

[19]
The following is a DFT calculation (PBE) of crystalline KTiFeSi2 at its relaxed geometry.

Cell lengths 4.944, 4.119, 4.944 Å; angles 90.00, 90.00, 90.00 degrees
Sites, in units of the cell vectors:
K 0.000 0.000 0.000
Si 0.000 0.000 0.500
Si 0.500 0.000 0.000
Fe 0.000 0.500 0.000
Ti 0.500 0.500 0.500

- crystal system = tetragonal

[20]
The following is a DFT calculation (PBE) of crystalline KYFe2Si at its relaxed geometry.

Cell lengths 4.286, 5.100, 4.286 Å; angles 90.00, 90.00, 90.00 degrees
Sites, in units of the cell vectors:
Y 0.000 0.500 0.000
K 0.000 0.000 0.000
Si 0.500 0.500 0.500
Fe 0.000 0.000 0.500
Fe 0.500 0.000 0.000

- crystal system = tetragonal

Number 1: formation energy without anion corrections 437.6 meV/atom. Number 2: formation energy without anion corrections 328.4 meV/atom. Number 3: formation energy without anion corrections 1031.5 meV/atom. Number 4: formation energy without anion corrections 351.7 meV/atom. Number 5: formation energy without anion corrections 1089.9 meV/atom. Number 6: formation energy without anion corrections 586.3 meV/atom. Number 7: formation energy without anion corrections 896.0 meV/atom. Number 8: formation energy without anion corrections 980.8 meV/atom. Number 9: formation energy without anion corrections 1104.3 meV/atom. Number 10: formation energy without anion corrections 2810.8 meV/atom. Number 11: formation energy without anion corrections 914.6 meV/atom. Number 12: formation energy without anion corrections 736.0 meV/atom. Number 13: formation energy without anion corrections 848.9 meV/atom. Number 14: formation energy without anion corrections 370.3 meV/atom. Number 15: formation energy without anion corrections 765.5 meV/atom. Number 16: formation energy without anion corrections 741.2 meV/atom. Number 17: formation energy without anion corrections 457.1 meV/atom. Number 18: formation energy without anion corrections 299.8 meV/atom. Number 19: formation energy without anion corrections 2299.9 meV/atom. Number 20: formation energy without anion corrections 2189.4 meV/atom.